Sc2InTcC | PBE-GGA | optimized geometry

Its energy relative to the elements is 2.22 eV per atom. The size of the total moment comes out at 2.32 μB/cell. The calculation puts the distance to the lowest polymorph of the same formula at 2.712 eV/atom. For the total energy, the calculation gives -23.87 eV/f.u.

The structure belongs to space group P4/mmm (No. 123); the cell edges are 5.2448, 5.2448 and 4.9484 Å and the angles 90.00°, 90.00° and 90.00°. The inequivalent atoms are Sc at (0.0000, 0.5000, 0.0000), In at (0.0000, 0.0000, 0.0000), Tc at (0.0000, 0.0000, 0.5000) and C at (0.5000, 0.5000, 0.5000).